Ag2BAu: optimized geometry, PBE.

Unit cell a=7.9224 b=7.9224 c=6.0200 alpha=48.85 beta=48.85 gamma=90.00
With the nearest neighbours (Å) after each atom.
Fractional positions:
1 B 0.5000 0.5000 0.0000  2 Au 2.20, 4 Ag 2.32
2 B 0.2500 0.7500 0.5000  2 Au 2.20, 4 Ag 2.32
3 Au 0.0000 0.0000 0.0000  2 B 2.20
4 Au 0.7500 0.2500 0.5000  2 B 2.20
5 Ag 0.5105 0.1250 0.2500  2 B 2.32
6 Ag 0.2395 0.6250 0.2500  2 B 2.32
7 Ag 0.3750 0.4895 0.7500  2 B 2.32
8 Ag 0.8750 0.7605 0.7500  2 B 2.32

Values from the calculation:
The crystal system is tetragonal. As for the formation energy: 12.61 kcal/mol of atoms. For the final energy, the calculation gives -3.3674 eV per atom. The volume is 17.3 A^3/atom.